Entry from Alexandria via LeMat-Bulk: Hf4FeCu after structural relaxation (PBE).

## Properties
**Formation energy**: -147.6 meV/atom

```
Hf4FeCu
1.0
3.164 -0.001 0.000
0.001 3.164 0.000
-0.001 -0.001 10.899
Fe Hf Cu
1 4 1
Cartesian
1.582 1.581 5.450
3.164 3.163 7.020
1.582 1.582 1.773
1.582 1.581 9.127
0.000 0.000 3.879
0.000 0.000 0.000
```


Entry from Alexandria via LeMat-Bulk: KAlS2N after structural relaxation (PBE).

## Properties
**Formation energy without anion corrections**: 1586 meV per atom

```
KAlS2N
1.0
-4.358 -1.615 3.353
3.714 -1.548 4.081
-0.216 4.653 1.961
N S Al K
1 2 1 1
Cartesian
-0.108 2.326 0.980
-2.179 -0.808 1.677
1.857 -0.774 2.040
-0.430 0.745 4.697
0.000 0.000 0.000
```


Entry from Alexandria via LeMat-Bulk: Zn2InCl after structural relaxation (PBE).

## Properties
**Formation energy without anion corrections**: -57 meV per atom

```
Zn2InCl
1.0
6.579 0.000 0.000
0.000 6.579 0.000
3.290 3.290 5.349
Zn In Cl
4 2 2
Cartesian
1.678 4.934 1.337
4.901 1.645 1.337
8.224 8.191 4.012
4.934 4.967 4.012
0.000 0.000 0.000
6.579 3.290 2.675
3.290 6.579 2.675
3.290 3.290 0.000
```


Entry from Alexandria via LeMat-Bulk: HfBeCrPb2 after structural relaxation (PBE).

## Properties
**Formation energy**: 1674.3 meV/atom

```
HfBeCrPb2
1.0
-3.289 -3.217 3.140
-0.907 -2.807 -3.825
4.372 -3.194 1.307
Hf Cr Be Pb
1 1 1 2
Cartesian
0.000 0.000 0.000
0.088 -4.608 0.311
-0.453 -1.403 -1.913
-1.644 -1.608 1.570
2.186 -1.597 0.653
```


Entry from Alexandria via LeMat-Bulk: BaTc2BSe after structural relaxation (PBE).

## Properties
**Formation energy without anion corrections**: 522 meV per atom

```
BaTc2BSe
1.0
-2.606 3.332 -0.516
0.413 -0.566 -5.737
-3.358 -2.623 0.017
Se Tc Ba B
1 2 1 1
Cartesian
-2.775 0.071 -3.118
-1.679 -1.312 0.009
-1.303 1.666 -0.258
0.206 -0.283 -2.869
0.000 0.000 0.000
```


Entry from Alexandria via LeMat-Bulk: ZnNi2Se after structural relaxation (PBE).

## Properties
**Formation energy without anion corrections**: 231 meV per atom

```
ZnNi2Se
1.0
-2.264 2.538 2.577
-4.241 -0.417 0.217
-1.809 -1.599 3.518
Ni Se Zn
2 1 1
Cartesian
-2.079 0.131 1.578
0.000 0.000 0.000
-4.157 0.261 3.156
-6.236 0.392 4.733
```


Entry from Alexandria via LeMat-Bulk: U3Si6Mo after structural relaxation (PBE).

## Properties
**Formation energy without anion corrections**: -308 meV per atom

```
U3Si6Mo
1.0
7.105 0.012 -0.861
-0.973 7.038 -0.861
0.010 0.012 7.157
Mo Si U
2 12 6
Cartesian
3.071 3.531 2.718
0.000 0.000 0.000
2.863 6.126 3.023
3.543 6.908 5.130
2.452 3.378 0.175
5.603 4.165 2.473
0.278 2.595 -0.244
0.540 2.896 2.962
0.066 0.634 2.542
2.599 0.153 0.305
3.280 0.936 2.413
6.077 6.427 2.893
3.690 3.684 5.260
5.865 4.466 5.679
1.117 4.846 5.014
5.542 1.777 4.000
4.091 5.734 0.498
2.051 1.327 4.937
0.601 5.284 1.435
5.026 2.215 0.422
```


Entry from Alexandria via LeMat-Bulk: Sr2Mg12Pb7 after structural relaxation (PBE).

## Properties
**Formation energy**: -184.6 meV/atom

```
Sr2Mg12Pb7
1.0
-3.715 0.532 -2.800
-6.643 -6.260 7.623
0.828 11.809 1.143
Mg Pb Sr
12 7 2
Cartesian
-2.722 5.155 -1.271
-4.391 0.553 0.046
-1.432 2.515 0.431
-1.186 9.712 1.471
-8.097 3.565 5.535
-5.138 5.527 5.919
-8.343 -3.632 4.495
-4.527 9.291 1.908
-6.807 0.925 7.237
-5.002 -3.211 4.058
-3.450 1.975 2.983
-6.079 4.105 2.983
-5.928 7.073 3.299
-4.400 3.537 0.600
-3.067 7.950 -0.330
-6.462 -1.870 6.296
-1.857 0.266 -1.400
-5.129 2.543 5.365
-3.601 -0.993 2.667
-6.921 0.159 3.376
-2.609 5.921 2.589
```


Entry from Alexandria via LeMat-Bulk: TaMnRu2 after structural relaxation (PBE).

## Properties
**Formation energy**: -15.5 meV/atom

```
TaMnRu2
1.0
-3.645 2.797 0.263
-4.594 0.143 0.235
-0.607 0.165 4.812
Ru Ta Mn
2 1 1
Cartesian
-8.205 2.927 0.593
-4.456 1.565 2.560
-6.634 2.328 3.983
-2.211 0.776 1.328
```


Entry from Alexandria via LeMat-Bulk: PrGeSb2 after structural relaxation (PBE).

## Properties
**Formation energy without anion corrections**: -440 meV per atom

```
PrGeSb2
1.0
4.689 0.000 0.000
0.000 4.726 0.000
0.000 0.000 4.726
Sb Pr Ge
2 1 1
Cartesian
0.000 2.363 0.000
0.000 0.000 2.363
2.345 2.363 2.363
2.345 0.000 0.000
```


Entry from Alexandria via LeMat-Bulk: Mg3ScCd after structural relaxation (PBE).

## Properties
**Formation energy**: -38.9 meV/atom

```
Mg3ScCd
1.0
3.256 0.000 0.000
0.000 10.256 0.000
0.000 0.000 13.786
Mg Sc Cd
12 4 4
Cartesian
0.814 3.793 10.470
2.442 8.747 7.414
0.814 8.921 10.208
0.814 1.119 0.886
2.442 9.136 12.900
0.814 6.247 6.007
0.814 1.509 6.371
2.442 1.335 3.577
2.442 4.009 7.779
2.442 3.619 13.264
2.442 6.463 3.316
0.814 6.637 0.522
0.814 9.022 4.592
0.814 3.894 2.301
2.442 6.361 11.485
2.442 1.234 9.194
2.442 9.036 2.006
2.442 3.908 4.887
0.814 1.220 11.780
0.814 6.347 8.899
```


Entry from Alexandria via LeMat-Bulk: CoNi2Rh after structural relaxation (PBE).

## Properties
**Formation energy**: 167.5 meV/atom

```
CoNi2Rh
1.0
-3.435 1.949 1.069
-1.796 2.570 -2.628
-3.557 -1.016 -1.748
Co Ni Rh
1 2 1
Cartesian
0.000 0.000 0.000
-2.197 0.876 -0.827
-6.591 2.627 -2.481
-4.394 1.751 -1.654
```


What did we get for density? Answer: 12.68 1.44 4.03 7.25 6.69 7.91 9.08 5.55 12.35 7.25 3.32 9.57 g/cm3, in the order shown.
What did we get for Fermi-level density of states? Answer: 0.7184 0.9031 0.0181 0.8085 1.1898 1.1595 1.4463 0.2108 0.9846 0.4456 0.7186 1.7938 states/eV/atom, in the order shown.